80
Lattice="-8.470 8.470 8.470 8.470 -8.470 8.470 8.470 8.470 -8.470" Properties=species:S:1:pos:R:3 comment="Ag12I5Cl3 GGA-PBE optimized geometry" magnetic_moment_mub_per_atom=0.0000 spacegroup="Ia-3d (230)" formation_energy_uncorrected_ev_per_atom=0.01 pbc="T T T"
Ag 11.103 -0.160 1.177
Ag 10.072 -3.058 4.075
Ag 2.633 0.160 1.177
Ag 10.072 5.412 -4.075
Ag 8.630 -1.177 2.633
Ag 12.545 -1.602 3.058
Ag 5.412 4.075 -1.602
Ag 7.293 2.633 -0.160
Ag 1.177 2.633 0.160
Ag 11.528 4.395 -1.602
Ag 0.160 1.177 2.633
Ag 4.075 -1.602 5.412
Ag 8.630 7.293 -2.633
Ag 4.075 1.602 3.058
Ag 3.058 4.075 1.602
Ag 9.647 5.837 -0.160
Ag 5.412 -4.075 10.072
Ag 7.293 -2.633 8.630
Ag 4.075 10.072 -3.058
Ag 8.630 1.177 5.837
Ag 1.602 3.058 4.075
Ag 2.633 -0.160 7.293
Ag 2.633 8.630 -1.177
Ag 10.072 3.058 4.395
Ag -1.602 5.412 4.075
Ag 5.837 -0.160 9.647
Ag 5.837 8.630 1.177
Ag 6.868 5.412 4.395
Ag -0.160 7.293 2.633
Ag 4.395 -1.602 11.528
Ag 1.177 11.103 -0.160
Ag 3.058 12.545 -1.602
Ag -1.177 2.633 8.630
Ag 5.412 4.395 6.868
Ag 4.395 6.868 5.412
Ag -0.160 1.177 11.103
Ag 4.395 10.072 3.058
Ag 8.310 7.293 5.837
Ag -3.058 4.075 10.072
Ag 7.293 5.837 8.310
Ag 1.177 5.837 8.630
Ag 3.058 4.395 10.072
Ag -4.075 10.072 5.412
Ag -0.160 9.647 5.837
Ag -1.602 3.058 12.545
Ag 5.837 8.310 7.293
Ag -1.602 11.528 4.395
Ag -2.633 8.630 7.293
I 0.000 0.000 0.000
I 4.235 4.235 -4.235
I 4.235 -4.235 4.235
I 8.470 0.000 0.000
I 12.705 2.117 0.000
I 8.470 -4.235 6.352
I 6.352 8.470 -4.235
I 6.352 0.000 4.235
I 4.235 6.352 0.000
I 8.470 4.235 2.117
I -4.235 4.235 4.235
I 0.000 8.470 0.000
I 0.000 0.000 8.470
I 4.235 4.235 4.235
I 0.000 4.235 6.352
I 4.235 2.117 8.470
I 2.117 8.470 4.235
I 2.117 0.000 12.705
I 0.000 12.705 2.117
I -4.235 6.352 8.470
Cl 4.235 2.117 0.000
Cl 8.470 4.235 -2.117
Cl 2.117 0.000 4.235
Cl 10.587 0.000 4.235
Cl 0.000 4.235 2.117
Cl 4.235 -2.117 8.470
Cl 4.235 10.587 0.000
Cl 8.470 4.235 6.352
Cl -2.117 8.470 4.235
Cl 6.352 8.470 4.235
Cl 0.000 4.235 10.587
Cl 4.235 6.352 8.470